<one>
A plane-wave DFT calculation with PBE was carried out for crystalline DyScZnPd at its relaxed geometry.

Its total moment is 0.0000 μB per atom. The value obtained for the density of states at the Fermi level is 3.07 states/eV/cell.

Cell lengths 3.445, 3.445, 6.812 Å; angles 90.00, 90.00, 90.00 degrees
Space group P4mm (No. 99)
One atom of each set of equivalent atoms:
Dy (0.000, 0.000, 0.000)
Sc (0.000, 0.000, 0.495)
Zn (0.500, 0.500, 0.721)
Pd (0.500, 0.500, 0.271)

<two>
A plane-wave DFT calculation with PBE was carried out for crystalline DyScZnPd at its relaxed geometry.

Its total moment is 0.0004 μB per atom. The value obtained for the density of states at the Fermi level is 11.47 states/eV/cell.

Cell lengths 6.882, 6.882, 6.882 Å; angles 90.00, 90.00, 90.00 degrees
Space group F-43m (No. 216)
One atom of each set of equivalent atoms:
Dy (0.000, 0.000, 0.000)
Sc (0.000, 0.000, 0.500)
Zn (0.250, 0.250, 0.250)
Pd (0.250, 0.250, 0.750)

<one> comes first in stability; the runner-up is 35 meV/atom higher.

<one>
A plane-wave DFT calculation with PBE was carried out for crystalline DyPdSe2 at its relaxed geometry.

Its total moment is 0.0000 μB per atom. The value obtained for the density of states at the Fermi level is 9.69 states/eV/cell.

Cell lengths 3.7968, 3.7968, 24.8588 Å; angles 90.00, 90.00, 120.00 degrees
Space group R-3m (No. 166, hexagonal axes)
One atom of each set of equivalent atoms:
Dy (0.0000, 0.0000, 0.0000)
Pd (0.0000, 0.0000, 0.5000)
Se (0.0000, 0.0000, 0.1122)

<two>
A plane-wave DFT calculation with PBE was carried out for crystalline DyPdSe2 at its relaxed geometry.

Its total moment is 0.0000 μB per atom. The value obtained for the density of states at the Fermi level is 13.91 states/eV/cell.

Cell lengths 4.0318, 4.0318, 18.9796 Å; angles 90.00, 90.00, 120.00 degrees
Space group R3m (No. 160, hexagonal axes)
One atom of each set of equivalent atoms:
Dy (0.0000, 0.0000, 0.0000)
Pd (0.0000, 0.0000, 0.8268)
Se (0.0000, 0.0000, 0.2431)
Se (0.0000, 0.0000, 0.4225)

<two> comes first in stability; the runner-up is 599 meV/atom higher.

<one>
A plane-wave DFT calculation with PBE was carried out for crystalline DySiPd3 at its relaxed geometry.

Its total moment is 0.0000 μB per atom. The value obtained for the density of states at the Fermi level is 5.39 states/eV/cell.

Cell lengths 5.205, 5.205, 15.455 Å; angles 90.00, 90.00, 90.00 degrees
Space group I-4m2 (No. 119)
One atom of each set of equivalent atoms:
Dy (0.000, 0.000, 0.153)
Si (0.000, 0.000, 0.500)
Si (0.000, 0.500, 0.750)
Pd (0.000, 0.246, 0.627)
Pd (0.000, 0.500, 0.041)

<two>
A plane-wave DFT calculation with PBE was carried out for crystalline DySiPd3 at its relaxed geometry.

Its total moment is 0.0000 μB per atom. The value obtained for the density of states at the Fermi level is 3.03 states/eV/cell.

Cell lengths 4.592, 4.592, 4.592 Å; angles 90.00, 90.00, 90.00 degrees
Space group Pm-3m (No. 221)
One atom of each set of equivalent atoms:
Dy (0.000, 0.000, 0.000)
Si (0.500, 0.500, 0.500)
Pd (0.000, 0.500, 0.500)

<two> comes first in stability; the runner-up is 76 meV/atom higher.

<one>
A plane-wave DFT calculation with PBE was carried out for crystalline DySi4Pd6 at its relaxed geometry.

Its total moment is 0.0000 μB per atom. The value obtained for the density of states at the Fermi level is 8.49 states/eV/cell.

Cell lengths 6.729, 6.729, 8.425 Å; angles 90.00, 90.00, 90.00 degrees
Space group I-42m (No. 121)
One atom of each set of equivalent atoms:
Dy (0.000, 0.000, 0.000)
Si (0.208, 0.208, 0.647)
Pd (0.000, 0.500, 0.000)
Pd (0.148, 0.148, 0.366)

<two>
A plane-wave DFT calculation with PBE was carried out for crystalline DySi4Pd6 at its relaxed geometry.

Its total moment is 0.0000 μB per atom. The value obtained for the density of states at the Fermi level is 4.28 states/eV/cell.

Cell lengths 7.1514, 7.1514, 3.8763 Å; angles 90.00, 90.00, 120.00 degrees
Space group P-6m2 (No. 187)
One atom of each set of equivalent atoms:
Dy (0.0000, 0.0000, 0.0000)
Si (0.3333, 0.6667, 0.0000)
Si (0.3850, 0.1925, 0.5000)
Pd (0.1978, 0.3956, 0.5000)
Pd (0.5343, 0.0686, 0.0000)

<two> comes first in stability; the runner-up is 211 meV/atom higher.

<one>
A plane-wave DFT calculation with PBE was carried out for crystalline TbDySiPd at its relaxed geometry.

Its total moment is 0.0000 μB per atom. The value obtained for the density of states at the Fermi level is 4.69 states/eV/cell.

Cell lengths 4.225, 3.967, 10.808 Å; angles 90.00, 90.00, 90.00 degrees
Space group Amm2 (No. 38)
One atom of each set of equivalent atoms:
Tb (0.000, 0.000, 0.000)
Dy (0.500, 0.000, 0.280)
Si (0.000, 0.000, 0.720)
Pd (0.500, 0.000, 0.567)

<two>
A plane-wave DFT calculation with PBE was carried out for crystalline TbDySiPd at its relaxed geometry.

Its total moment is 0.0000 μB per atom. The value obtained for the density of states at the Fermi level is 8.15 states/eV/cell.

Cell lengths 7.056, 7.056, 7.056 Å; angles 90.00, 90.00, 90.00 degrees
Space group F-43m (No. 216)
One atom of each set of equivalent atoms:
Tb (0.000, 0.000, 0.000)
Dy (0.000, 0.000, 0.500)
Si (0.250, 0.250, 0.750)
Pd (0.250, 0.250, 0.250)

<one> comes first in stability; the runner-up is 116 meV/atom higher.

<one>
A plane-wave DFT calculation with PBE was carried out for crystalline DyTmSiPd at its relaxed geometry.

Its total moment is 0.0000 μB per atom. The value obtained for the density of states at the Fermi level is 4.66 states/eV/cell.

Cell lengths 4.213, 3.910, 10.709 Å; angles 90.00, 90.00, 90.00 degrees
Space group Amm2 (No. 38)
One atom of each set of equivalent atoms:
Dy (0.000, 0.000, 0.000)
Tm (0.500, 0.000, 0.282)
Si (0.000, 0.000, 0.722)
Pd (0.500, 0.000, 0.568)

<two>
A plane-wave DFT calculation with PBE was carried out for crystalline DyTmSiPd at its relaxed geometry.

Its total moment is 0.0000 μB per atom. The value obtained for the density of states at the Fermi level is 6.45 states/eV/cell.

Cell lengths 6.990, 6.990, 6.990 Å; angles 90.00, 90.00, 90.00 degrees
Space group F-43m (No. 216)
One atom of each set of equivalent atoms:
Dy (0.000, 0.000, 0.000)
Tm (0.000, 0.000, 0.500)
Si (0.250, 0.250, 0.250)
Pd (0.250, 0.250, 0.750)

<one> comes first in stability; the runner-up is 108 meV/atom higher.

<one>
A plane-wave DFT calculation with PBE was carried out for crystalline DyYSiPd at its relaxed geometry.

Its total moment is 0.0000 μB per atom. The value obtained for the density of states at the Fermi level is 5.05 states/eV/cell.

Cell lengths 4.238, 3.965, 10.753 Å; angles 90.00, 90.00, 90.00 degrees
Space group Amm2 (No. 38)
One atom of each set of equivalent atoms:
Dy (0.000, 0.000, 0.000)
Y (0.500, 0.000, 0.281)
Si (0.500, 0.000, 0.562)
Pd (0.000, 0.000, 0.713)

<two>
A plane-wave DFT calculation with PBE was carried out for crystalline DyYSiPd at its relaxed geometry.

Its total moment is 0.0000 μB per atom. The value obtained for the density of states at the Fermi level is 7.41 states/eV/cell.

Cell lengths 7.045, 7.045, 7.045 Å; angles 90.00, 90.00, 90.00 degrees
Space group F-43m (No. 216)
One atom of each set of equivalent atoms:
Dy (0.000, 0.000, 0.000)
Y (0.000, 0.000, 0.500)
Si (0.250, 0.250, 0.250)
Pd (0.250, 0.250, 0.750)

<one> comes first in stability; the runner-up is 113 meV/atom higher.